# 1
This record from the Alexandria database describes crystalline La7Y4Sc at its relaxed geometry. The functional is PBE.

POSCAR file:
```
La7Y4Sc
1.0
5.6377 0.0062 1.5391
2.5563 5.7185 1.6994
-0.3573 -2.7948 12.4179
La Sc Y
7 1 4
Direct
0.5000 0.0000 0.0000
0.6244 0.2171 0.5335
0.3756 0.7829 0.4665
0.7948 0.5050 0.9070
0.8787 0.9702 0.2729
0.2052 0.4950 0.0930
0.1213 0.0298 0.7271
0.0000 0.0000 0.0000
0.6221 0.5543 0.2006
0.8735 0.6184 0.6338
0.3779 0.4457 0.7994
0.1265 0.3816 0.3663
```

Calculated values
**Final energy**: -64.2 eV per cell
**Magnetic moment**: 0.36 μB/cell
**Formation enthalpy at 0 K**: 0.2085 eV/atom
**Space-group type**: C2/m, No. 12
**Crystal system**: monoclinic


# 2
This record from the Alexandria database describes crystalline La3Y2Sc at its relaxed geometry. The functional is PBE.

POSCAR file:
```
La3Y2Sc
1.0
-2.9231 3.8732 8.8886
2.9231 -3.8732 8.8886
2.9231 3.8732 -8.8886
Y La Sc
4 6 2
Direct
0.8251 0.3254 0.5002
0.6749 0.6751 0.0002
0.1749 0.6746 0.4998
0.3251 0.3249 0.9998
0.2500 0.5000 0.7500
0.7500 0.5000 0.2500
0.9024 0.1524 0.7500
0.0976 0.8476 0.2500
0.5976 0.8476 0.7500
0.4024 0.1524 0.2500
0.5000 0.0000 0.5000
0.0000 0.0000 0.0000
```

Calculated values
**Final energy**: -67.3 eV per cell
**Magnetic moment**: 0.00 μB/cell
**Formation enthalpy at 0 K**: 0.0688 eV/atom
**Space-group type**: Cmmm, No. 65
**Crystal system**: orthorhombic


# 3
This record from the Alexandria database describes crystalline LaY2Sc3 at its relaxed geometry. The functional is PBE.

POSCAR file:
```
LaY2Sc3
1.0
-3.4504 -0.5159 -5.6845
-3.1654 -0.3112 5.8624
-1.1766 9.3829 -0.1373
Sc La Y
6 2 4
Direct
0.1840 0.3680 0.2655
0.8160 0.6320 0.7345
0.1840 0.8160 0.2655
0.3680 0.1840 0.7345
0.8160 0.1840 0.7345
0.6320 0.8160 0.2655
0.6667 0.3333 0.0450
0.3333 0.6667 0.9550
0.0000 0.0000 0.0000
0.0000 0.0000 0.5000
0.6667 0.3333 0.4181
0.3333 0.6667 0.5819
```

Calculated values
**Final energy**: -70.5 eV per cell
**Magnetic moment**: 0.10 μB/cell
**Formation enthalpy at 0 K**: 0.2676 eV/atom
**Space-group type**: P-3m1, No. 164
**Crystal system**: trigonal